[1]
DFT (GGA-PBE) results for crystalline InFePN2 at its relaxed geometry.

## Properties
symmetry = P4/mmm (123)
formation energy without anion corrections = 2.38 eV/atom
volume = 17.4 A^3/atom
D(E_F) = 1.874 states/eV/atom
theoretical density = 4.39 g/cm³

Cell lengths 3.9802, 3.9802, 5.4785 Å; angles 90.00, 90.00, 90.00 degrees
Atoms (fractional coordinates):
In  0.0000  0.0000  0.0000
Fe  0.0000  0.0000  0.5000
P  0.5000  0.5000  0.5000
N  0.0000  0.5000  0.0000
N  0.5000  0.0000  0.0000



[2]
DFT (GGA-PBE) results for crystalline InFe2PN at its relaxed geometry.

## Properties
symmetry = P4/mmm (123)
formation energy without anion corrections = 0.69 eV/atom
volume = 14.0 A^3/atom
D(E_F) = 1.235 states/eV/atom
theoretical density = 6.44 g/cm³

Cell lengths 4.4538, 4.4538, 3.5284 Å; angles 90.00, 90.00, 90.00 degrees
Atoms (fractional coordinates):
In  0.0000  0.0000  0.0000
Fe  0.0000  0.5000  0.5000
Fe  0.5000  0.0000  0.5000
P  0.5000  0.5000  0.5000
N  0.5000  0.5000  0.0000



[3]
DFT (GGA-PBE) results for crystalline Pa2InFeN5 at its relaxed geometry.

## Properties
symmetry = Cmc2_1 (36)
formation energy without anion corrections = -0.70 eV/atom
volume = 12.4 A^3/atom
D(E_F) = 0.481 states/eV/atom
theoretical density = 10.47 g/cm³

Cell lengths 6.9417, 6.9417, 9.8352 Å; angles 90.00, 90.00, 151.96 degrees
Atoms (fractional coordinates):
Pa  0.1010  0.8990  0.5000
Pa  0.1394  0.8606  0.1114
Pa  0.8606  0.1394  0.6114
Pa  0.8990  0.1010  0.0000
In  0.2039  0.7961  0.8140
In  0.7961  0.2039  0.3140
Fe  0.4815  0.5185  0.2757
Fe  0.5185  0.4815  0.7757
N  0.0445  0.9555  0.8771
N  0.2807  0.7193  0.4961
N  0.3386  0.6614  0.1726
N  0.3705  0.6295  0.8219
N  0.4799  0.5201  0.5916
N  0.5201  0.4799  0.0916
N  0.6295  0.3705  0.3219
N  0.6614  0.3386  0.6726
N  0.7193  0.2807  0.9961
N  0.9555  0.0445  0.3771



[4]
DFT (GGA-PBE) results for crystalline InFeRh2N at its relaxed geometry.

## Properties
symmetry = P4/mmm (123)
formation energy without anion corrections = -0.03 eV/atom
volume = 13.2 A^3/atom
D(E_F) = 1.009 states/eV/atom
theoretical density = 9.81 g/cm³

Cell lengths 4.2358, 4.2358, 3.6827 Å; angles 90.00, 90.00, 90.00 degrees
Atoms (fractional coordinates):
In  0.0000  0.0000  0.0000
Fe  0.5000  0.5000  0.0000
Rh  0.0000  0.5000  0.5000
Rh  0.5000  0.0000  0.5000
N  0.5000  0.5000  0.5000



[5]
DFT (GGA-PBE) results for crystalline InFe2RuN at its relaxed geometry.

## Properties
symmetry = P4/mmm (123)
formation energy without anion corrections = 0.03 eV/atom
volume = 12.6 A^3/atom
D(E_F) = 1.040 states/eV/atom
theoretical density = 9.01 g/cm³

Cell lengths 3.9079, 3.9079, 4.1202 Å; angles 90.00, 90.00, 90.00 degrees
Atoms (fractional coordinates):
In  0.0000  0.0000  0.0000
Fe  0.0000  0.5000  0.5000
Fe  0.5000  0.0000  0.5000
Ru  0.5000  0.5000  0.0000
N  0.5000  0.5000  0.5000



[6]
DFT (GGA-PBE) results for crystalline InFe2SbN at its relaxed geometry.

## Properties
symmetry = P4/mmm (123)
formation energy without anion corrections = 0.63 eV/atom
volume = 15.5 A^3/atom
D(E_F) = 1.839 states/eV/atom
theoretical density = 7.77 g/cm³

Cell lengths 3.9014, 3.9014, 5.0841 Å; angles 90.00, 90.00, 90.00 degrees
Atoms (fractional coordinates):
In  0.0000  0.0000  0.0000
Fe  0.0000  0.5000  0.5000
Fe  0.5000  0.0000  0.5000
Sb  0.5000  0.5000  0.0000
N  0.0000  0.0000  0.5000



Repeat the third record exactly.
DFT (GGA-PBE) results for crystalline Pa2InFeN5 at its relaxed geometry.

## Properties
symmetry = Cmc2_1 (36)
formation energy without anion corrections = -0.70 eV/atom
volume = 12.4 A^3/atom
D(E_F) = 0.481 states/eV/atom
theoretical density = 10.47 g/cm³

Cell lengths 6.9417, 6.9417, 9.8352 Å; angles 90.00, 90.00, 151.96 degrees
Atoms (fractional coordinates):
Pa  0.1010  0.8990  0.5000
Pa  0.1394  0.8606  0.1114
Pa  0.8606  0.1394  0.6114
Pa  0.8990  0.1010  0.0000
In  0.2039  0.7961  0.8140
In  0.7961  0.2039  0.3140
Fe  0.4815  0.5185  0.2757
Fe  0.5185  0.4815  0.7757
N  0.0445  0.9555  0.8771
N  0.2807  0.7193  0.4961
N  0.3386  0.6614  0.1726
N  0.3705  0.6295  0.8219
N  0.4799  0.5201  0.5916
N  0.5201  0.4799  0.0916
N  0.6295  0.3705  0.3219
N  0.6614  0.3386  0.6726
N  0.7193  0.2807  0.9961
N  0.9555  0.0445  0.3771



Which value of volume does entry 4 give?
13.2 A^3/atom



The highest volume belongs to which entry?
InFePN2



Repeat the second record exactly.
DFT (GGA-PBE) results for crystalline InFe2PN at its relaxed geometry.

## Properties
symmetry = P4/mmm (123)
formation energy without anion corrections = 0.69 eV/atom
volume = 14.0 A^3/atom
D(E_F) = 1.235 states/eV/atom
theoretical density = 6.44 g/cm³

Cell lengths 4.4538, 4.4538, 3.5284 Å; angles 90.00, 90.00, 90.00 degrees
Atoms (fractional coordinates):
In  0.0000  0.0000  0.0000
Fe  0.0000  0.5000  0.5000
Fe  0.5000  0.0000  0.5000
P  0.5000  0.5000  0.5000
N  0.5000  0.5000  0.0000